<one>
Density functional theory data (PBE) for a relaxed Ba2SrZnRh crystal.

Unit cell a=6.108 b=6.108 c=5.099 alpha=90.00 beta=90.00 gamma=90.00
Fractional positions:
1 Ba 0.000 0.500 0.000
2 Ba 0.500 0.000 0.000
3 Sr 0.000 0.000 0.500
4 Zn 0.500 0.500 0.500
5 Rh 0.500 0.500 0.000

Values from the calculation:
Space group: P4/mmm (123)

<two>
Density functional theory data (PBE) for a relaxed Ba2SrZnRh crystal.

Unit cell a=6.021 b=6.021 c=5.823 alpha=90.00 beta=90.00 gamma=90.00
Fractional positions:
1 Ba 0.000 0.500 0.000
2 Ba 0.500 0.000 0.000
3 Sr 0.000 0.000 0.500
4 Zn 0.500 0.500 0.500
5 Rh 0.000 0.000 0.000

Values from the calculation:
Space group: P4/mmm (123)

<two> wins, 17 meV per atom ahead of the next structure.

<one>
Density functional theory data (PBE) for a relaxed BaTa3Rh crystal.

Unit cell a=4.982 b=4.982 c=4.982 alpha=90.00 beta=90.00 gamma=90.00
Fractional positions:
1 Ba 0.000 0.000 0.000
2 Ta 0.000 0.000 0.500
3 Ta 0.000 0.500 0.000
4 Ta 0.500 0.000 0.000
5 Rh 0.500 0.500 0.500

Values from the calculation:
Space group: Pm-3m (221)

<two>
Density functional theory data (PBE) for a relaxed BaTa3Rh crystal.

Unit cell a=4.994 b=4.994 c=4.994 alpha=90.00 beta=90.00 gamma=90.00
Fractional positions:
1 Ba 0.000 0.000 0.000
2 Ta 0.000 0.500 0.500
3 Ta 0.500 0.000 0.500
4 Ta 0.500 0.500 0.000
5 Rh 0.500 0.500 0.500

Values from the calculation:
Space group: Pm-3m (221)

<two> wins, 2062 meV per atom ahead of the next structure.

<one>
Density functional theory data (PBE) for a relaxed Ba2TcRh crystal.

Unit cell a=3.743 b=3.743 c=28.318 alpha=90.00 beta=90.00 gamma=120.00
Fractional positions:
1 Ba 0.000 0.000 0.245
2 Ba 0.000 0.000 0.755
3 Ba 0.333 0.667 0.422
4 Ba 0.333 0.667 0.911
5 Ba 0.667 0.333 0.089
6 Ba 0.667 0.333 0.578
7 Tc 0.000 0.000 0.000
8 Tc 0.333 0.667 0.667
9 Tc 0.667 0.333 0.333
10 Rh 0.000 0.000 0.500
11 Rh 0.333 0.667 0.167
12 Rh 0.667 0.333 0.833

Values from the calculation:
Space group: R-3m (166)

<two>
Density functional theory data (PBE) for a relaxed Ba2TcRh crystal.

Unit cell a=4.337 b=5.064 c=11.660 alpha=90.00 beta=90.00 gamma=90.00
Fractional positions:
1 Ba 0.000 0.000 0.000
2 Ba 0.000 0.500 0.500
3 Ba 0.500 0.000 0.287
4 Ba 0.500 0.500 0.787
5 Tc 0.500 0.000 0.601
6 Tc 0.500 0.500 0.101
7 Rh 0.000 0.000 0.688
8 Rh 0.000 0.500 0.188

Values from the calculation:
Space group: Amm2 (38)

<three>
Density functional theory data (PBE) for a relaxed Ba2TcRh crystal.

Unit cell a=3.572 b=3.572 c=9.582 alpha=90.00 beta=90.00 gamma=90.00
Fractional positions:
1 Ba 0.000 0.000 0.000
2 Ba 0.500 0.500 0.427
3 Tc 0.500 0.500 0.743
4 Rh 0.000 0.000 0.670

Values from the calculation:
Space group: P4mm (99)

<four>
Density functional theory data (PBE) for a relaxed Ba2TcRh crystal.

Unit cell a=11.769 b=11.769 c=4.735 alpha=90.00 beta=90.00 gamma=90.00
Fractional positions:
1 Ba 0.077 0.250 0.125
2 Ba 0.250 0.577 0.375
3 Ba 0.250 0.923 0.875
4 Ba 0.423 0.250 0.625
5 Ba 0.577 0.750 0.625
6 Ba 0.750 0.077 0.875
7 Ba 0.750 0.423 0.375
8 Ba 0.923 0.750 0.125
9 Tc 0.000 0.000 0.500
10 Tc 0.000 0.500 0.750
11 Tc 0.500 0.000 0.250
12 Tc 0.500 0.500 0.000
13 Rh 0.000 0.000 0.000
14 Rh 0.000 0.500 0.250
15 Rh 0.500 0.000 0.750
16 Rh 0.500 0.500 0.500

Values from the calculation:
Space group: I-42d (122)

<two> wins, 167 meV per atom ahead of the next structure.

<one>
Density functional theory data (PBE) for a relaxed Ba2TcRh crystal.

Unit cell a=4.699 b=5.448 c=9.664 alpha=90.00 beta=90.00 gamma=90.00
Fractional positions:
1 Ba 0.000 0.000 0.000
2 Ba 0.000 0.500 0.430
3 Ba 0.500 0.000 0.430
4 Ba 0.500 0.500 0.000
5 Tc 0.000 0.000 0.680
6 Tc 0.500 0.500 0.680
7 Rh 0.000 0.500 0.760
8 Rh 0.500 0.000 0.760

Values from the calculation:
Space group: Cmm2 (35)

<two>
Density functional theory data (PBE) for a relaxed Ba2TcRh crystal.

Unit cell a=7.559 b=7.559 c=7.559 alpha=90.00 beta=90.00 gamma=90.00
Fractional positions:
1 Ba 0.000 0.000 0.000
2 Ba 0.000 0.500 0.500
3 Ba 0.250 0.250 0.250
4 Ba 0.250 0.750 0.750
5 Ba 0.500 0.000 0.500
6 Ba 0.500 0.500 0.000
7 Ba 0.750 0.250 0.750
8 Ba 0.750 0.750 0.250
9 Tc 0.250 0.250 0.750
10 Tc 0.250 0.750 0.250
11 Tc 0.750 0.250 0.250
12 Tc 0.750 0.750 0.750
13 Rh 0.000 0.000 0.500
14 Rh 0.000 0.500 0.000
15 Rh 0.500 0.000 0.000
16 Rh 0.500 0.500 0.500

Values from the calculation:
Space group: F-43m (216)

<three>
Density functional theory data (PBE) for a relaxed Ba2TcRh crystal.

Unit cell a=4.207 b=5.077 c=12.426 alpha=90.00 beta=90.00 gamma=90.00
Fractional positions:
1 Ba 0.000 0.000 0.000
2 Ba 0.000 0.500 0.230
3 Ba 0.500 0.000 0.730
4 Ba 0.500 0.500 0.500
5 Tc 0.000 0.000 0.410
6 Tc 0.500 0.500 0.910
7 Rh 0.000 0.500 0.823
8 Rh 0.500 0.000 0.323

Values from the calculation:
Space group: Imm2 (44)

<four>
Density functional theory data (PBE) for a relaxed Ba2TcRh crystal.

Unit cell a=7.488 b=4.321 c=9.208 alpha=90.00 beta=105.37 gamma=90.00
Fractional positions:
1 Ba 0.000 0.000 0.000
2 Ba 0.171 0.000 0.526
3 Ba 0.500 0.500 0.000
4 Ba 0.671 0.500 0.526
5 Tc 0.253 0.500 0.267
6 Tc 0.753 0.000 0.267
7 Rh 0.418 0.000 0.259
8 Rh 0.918 0.500 0.259

Values from the calculation:
Space group: Cm (8)

<four> wins, 177 meV per atom ahead of the next structure.

<one>
Density functional theory data (PBE) for a relaxed Ba2TcRh crystal.

Unit cell a=7.701 b=7.701 c=7.701 alpha=90.00 beta=90.00 gamma=90.00
Fractional positions:
1 Ba 0.250 0.250 0.250
2 Ba 0.250 0.250 0.750
3 Ba 0.250 0.750 0.250
4 Ba 0.250 0.750 0.750
5 Ba 0.750 0.250 0.250
6 Ba 0.750 0.250 0.750
7 Ba 0.750 0.750 0.250
8 Ba 0.750 0.750 0.750
9 Tc 0.000 0.000 0.000
10 Tc 0.000 0.500 0.500
11 Tc 0.500 0.000 0.500
12 Tc 0.500 0.500 0.000
13 Rh 0.000 0.000 0.500
14 Rh 0.000 0.500 0.000
15 Rh 0.500 0.000 0.000
16 Rh 0.500 0.500 0.500

Values from the calculation:
Space group: Fm-3m (225)

<two>
Density functional theory data (PBE) for a relaxed Ba2TcRh crystal.

Unit cell a=3.605 b=3.670 c=8.577 alpha=90.00 beta=90.12 gamma=90.00
Fractional positions:
1 Ba 0.001 0.000 0.231
2 Ba 0.999 0.000 0.769
3 Tc 0.500 0.500 0.500
4 Rh 0.500 0.500 0.000

Values from the calculation:
Space group: P2/m (10)

<two> wins, 61 meV per atom ahead of the next structure.

<one>
Density functional theory data (PBE) for a relaxed Ba2TcRh crystal.

Unit cell a=5.066 b=5.066 c=8.785 alpha=90.00 beta=90.00 gamma=90.00
Fractional positions:
1 Ba 0.000 0.500 0.250
2 Ba 0.000 0.500 0.750
3 Ba 0.500 0.000 0.250
4 Ba 0.500 0.000 0.750
5 Tc 0.000 0.000 0.000
6 Tc 0.500 0.500 0.500
7 Rh 0.000 0.000 0.500
8 Rh 0.500 0.500 0.000

Values from the calculation:
Space group: I4/mmm (139)

<two>
Density functional theory data (PBE) for a relaxed Ba2TcRh crystal.

Unit cell a=7.614 b=3.467 c=9.082 alpha=90.00 beta=98.15 gamma=90.00
Fractional positions:
1 Ba 0.247 0.000 0.228
2 Ba 0.253 0.500 0.772
3 Ba 0.747 0.500 0.228
4 Ba 0.753 0.000 0.772
5 Tc 0.000 0.000 0.500
6 Tc 0.500 0.500 0.500
7 Rh 0.000 0.500 0.000
8 Rh 0.500 0.000 0.000

Values from the calculation:
Space group: C2/m (12)

<one> wins, 82 meV per atom ahead of the next structure.